{"formula": "Cd2TeCl", "functional": "PBE-GGA", "state": "relaxed", "lattice_angstrom": [[3.3491, 0.1035, 0.0000], [-0.8919, 3.2298, 0.0000], [0.0000, 0.0000, 9.7706]], "species": ["Cl", "Cd", "Cd", "Te"], "frac_coords": [[0.0000, 0.0000, 0.4267], [0.5000, 0.5000, 0.2573], [0.0000, 0.0000, 0.0306], [0.5000, 0.5000, 0.7854]], "density_g_cm3": 6.0, "polymorph_energy_mev_per_atom": 235}



{"formula": "LiB2Cl6", "functional": "PBE-GGA", "state": "relaxed", "lattice_angstrom": [[-4.2123, 3.7665, -3.9474], [-7.0982, -4.9069, -3.0794], [-5.5975, 5.2471, 5.0080]], "species": ["Cl", "Cl", "Cl", "Cl", "Cl", "Cl", "Cl", "Cl", "Cl", "Cl", "Cl", "Cl", "Li", "Li", "B", "B", "B", "B"], "frac_coords": [[0.4115, 0.9577, 0.2384], [0.5885, 0.0423, 0.7616], [0.1160, 0.2052, 0.5493], [0.3840, 0.4507, 0.7948], [0.9115, 0.2384, 0.9577], [0.8840, 0.7948, 0.4507], [0.0885, 0.7616, 0.0423], [0.2249, 0.3124, 0.2236], [0.7751, 0.6876, 0.7764], [0.6160, 0.5493, 0.2052], [0.2751, 0.7764, 0.6876], [0.7249, 0.2236, 0.3124], [0.7500, 0.7483, 0.2517], [0.2500, 0.2517, 0.7483], [0.7876, 0.3366, 0.1631], [0.2124, 0.6634, 0.8369], [0.7124, 0.8369, 0.6634], [0.2876, 0.1631, 0.3366]], "e_tot_ev_per_cell": -67.6, "density_g_cm3": 1.6}



{"formula": "Li17AlZn11", "functional": "PBE-GGA", "state": "relaxed", "lattice_angstrom": [[8.0355, -0.0265, -2.7968], [-3.9868, 6.9768, -2.7968], [-0.0043, -0.0073, 8.4013]], "species": ["Zn", "Zn", "Zn", "Zn", "Zn", "Zn", "Zn", "Zn", "Zn", "Zn", "Zn", "Li", "Li", "Li", "Li", "Li", "Li", "Li", "Li", "Li", "Li", "Li", "Li", "Li", "Li", "Li", "Li", "Li", "Al"], "frac_coords": [[0.1805, 0.3682, 0.3711], [0.6307, 0.0006, 0.8123], [0.1839, 0.8164, 0.1867], [0.1838, 0.1838, 0.8140], [0.0006, 0.6307, 0.8123], [0.8121, 0.6307, 0.0003], [0.3682, 0.1805, 0.3711], [0.0004, 0.8125, 0.6276], [0.6307, 0.8121, 0.0003], [0.8125, 0.0004, 0.6276], [0.8164, 0.1839, 0.1867], [0.0009, 0.3171, 0.5904], [0.5938, 0.3135, 0.0008], [0.6884, 0.2798, 0.6879], [0.0013, 0.3536, 0.9989], [0.4091, 0.4091, 0.7241], [0.6458, 0.6458, 0.6432], [0.0004, 0.0004, 0.3593], [0.9993, 0.5887, 0.3142], [0.4074, 0.7221, 0.4088], [0.3171, 0.0009, 0.5904], [0.3135, 0.5938, 0.0008], [0.7221, 0.4074, 0.4088], [0.5887, 0.9993, 0.3142], [0.6866, 0.6866, 0.2763], [0.2798, 0.6884, 0.6879], [0.3536, 0.0013, 0.9989], [0.0016, 0.0016, 0.0013], [0.3708, 0.3708, 0.1837]], "e_tot_ev_per_cell": -54.7, "density_g_cm3": 3.1}



{"formula": "AcPuAs", "functional": "PBE-GGA", "state": "relaxed", "lattice_angstrom": [[3.9054, 0.0000, 0.0000], [0.0000, 3.9054, 0.0000], [-1.9527, -1.9527, 5.7569]], "species": ["Pu", "As", "Ac"], "frac_coords": [[0.7078, 0.7078, 0.4156], [0.3059, 0.3059, 0.6118], [0.9863, 0.9863, 0.9726]], "density_g_cm3": 10.3, "polymorph_energy_mev_per_atom": 0}



{"formula": "CdP2Pd7Pb2", "functional": "PBE-GGA", "state": "relaxed", "lattice_angstrom": [[4.5433, 0.4424, 0.0514], [0.4480, 4.5427, 0.0514], [2.6205, 2.6173, 11.1067]], "species": ["P", "P", "Pd", "Pd", "Pd", "Pd", "Pd", "Pd", "Pd", "Cd", "Pb", "Pb"], "frac_coords": [[0.6204, 0.6204, 0.7830], [0.3796, 0.3796, 0.2170], [0.0871, 0.5890, 0.8382], [0.9129, 0.4110, 0.1618], [0.5890, 0.0871, 0.8382], [0.5276, 0.5276, 0.6110], [0.4724, 0.4724, 0.3890], [0.5000, 0.5000, 0.0000], [0.4110, 0.9129, 0.1618], [0.0000, 0.0000, 0.0000], [0.8752, 0.8752, 0.3907], [0.1248, 0.1248, 0.6093]], "e_tot_ev_per_cell": -59.9, "density_g_cm3": 9.8}



{"formula": "Pm2DyTl3S6", "functional": "PBE-GGA", "state": "relaxed", "lattice_angstrom": [[7.1196, -0.0010, 0.0009], [-3.5589, 6.1663, 0.0009], [-1.1866, -2.0547, 7.5068]], "species": ["S", "S", "S", "S", "S", "S", "Dy", "Tl", "Tl", "Tl", "Pm", "Pm"], "frac_coords": [[0.6067, 0.9330, 0.7993], [0.7410, 0.7410, 0.2023], [0.2590, 0.2590, 0.7977], [0.9330, 0.6067, 0.7993], [0.0670, 0.3933, 0.2007], [0.3933, 0.0670, 0.2007], [0.0000, 0.0000, 0.0000], [0.1675, 0.8325, 0.5000], [0.8325, 0.1675, 0.5000], [0.5000, 0.5000, 0.5000], [0.6667, 0.3333, 0.0000], [0.3333, 0.6667, 0.0000]], "e_tot_ev_per_cell": -63.6, "density_g_cm3": 6.3}



{"formula": "V2ReTcH", "functional": "PBE-GGA", "state": "relaxed", "lattice_angstrom": [[-2.2629, -2.4884, 2.5228], [2.6882, -1.9193, 0.5181], [1.0626, 2.3791, 3.2997]], "species": ["Tc", "V", "V", "Re", "H"], "frac_coords": [[0.0000, 0.5000, 0.0000], [0.0000, 0.0000, 0.5000], [0.5000, 0.0000, 0.0000], [0.5000, 0.5000, 0.5000], [0.0000, 0.0000, 0.0000]], "density_g_cm3": 10.9, "polymorph_energy_mev_per_atom": 0}



{"formula": "CsSiTeCSe", "functional": "PBE-GGA", "state": "relaxed", "lattice_angstrom": [[6.0962, 0.0000, -0.0019], [0.0000, 3.5741, 0.0000], [-5.7800, 0.0000, 12.7185]], "species": ["Te", "Te", "Cs", "Cs", "C", "C", "Si", "Si", "Se", "Se"], "frac_coords": [[0.5141, 0.0000, 0.6423], [0.5141, 0.5000, 0.1423], [0.7913, 0.0000, 0.4329], [0.7913, 0.5000, 0.9329], [0.7324, 0.0000, 0.1741], [0.7324, 0.5000, 0.6741], [0.0637, 0.5000, 0.7169], [0.0637, 0.0000, 0.2169], [0.2003, 0.5000, 0.3450], [0.2003, 0.0000, 0.8450]], "density_g_cm3": 4.5, "polymorph_energy_mev_per_atom": 134}



Which D(E_F) belongs to each record? In order, 1.1; 2.2; 14.1; 8.4; 5.4; 0.0; 4.2; 2.1 states/eV/cell.